1.
Below is a relaxed structure of BaCuBr2, with properties calculated at the PBE level.

Properties
The calculation puts the excess energy over the best structure of this formula in the dataset at 152 meV/atom. The crystal system is trigonal. The calculation puts the formation energy from raw total energies at -850.3 meV/atom. For the calculated volume, the calculation gives 39.4 A^3/atom.

Cell and atoms, written as CIF:
```
data_BaCuBr2
_chemical_formula_sum 'Ba3 Cu3 Br6'
_cell_length_a 4.5309
_cell_length_b 4.5309
_cell_length_c 26.6105
_cell_angle_alpha 90.00
_cell_angle_beta 90.00
_cell_angle_gamma 120.00
_space_group_name_H-M_alt 'R -3 m'
_space_group_IT_number 166
_space_group_name_Hall '-R 3 2"'
loop_
_atom_site_label
_atom_site_fract_x
_atom_site_fract_y
_atom_site_fract_z
_atom_site_occupancy
Ba1 0.0000 0.0000 0.0000 1
Cu1 0.0000 0.0000 0.5000 1
Br1 0.0000 0.0000 0.4124 1
```

2.
Below is a relaxed structure of CdHg2, with properties calculated at the PBE level.

Properties
Its formation energy is 0.111 eV per atom. The calculation puts the excess energy over the best structure of this formula in the dataset at 94 meV/atom. The crystal system is hexagonal. For the calculated volume, the calculation gives 27.8 A^3/atom.

Cell and atoms, written as CIF:
```
data_CdHg2
_chemical_formula_sum 'Cd4 Hg8'
_cell_length_a 6.4822
_cell_length_b 6.4822
_cell_length_c 9.1695
_cell_angle_alpha 90.00
_cell_angle_beta 90.00
_cell_angle_gamma 120.00
_space_group_name_H-M_alt 'P 63/m m c'
_space_group_IT_number 194
_space_group_name_Hall '-P 6c 2c'
loop_
_atom_site_label
_atom_site_fract_x
_atom_site_fract_y
_atom_site_fract_z
_atom_site_occupancy
Cd1 0.3333 0.6667 0.0753 1
Hg1 0.0000 0.0000 0.0000 1
Hg2 0.1767 0.3535 0.7500 1
```

Which value of excess energy over the best structure of this formula in the dataset does entry 2 give?
94 meV/atom

excess energy over the best structure of this formula in the dataset of number 1 (BaCuBr2)?
152 meV/atom

Please write out number 1 again, unchanged.
Below is a relaxed structure of BaCuBr2, with properties calculated at the PBE level.

Properties
The calculation puts the excess energy over the best structure of this formula in the dataset at 152 meV/atom. The crystal system is trigonal. The calculation puts the formation energy from raw total energies at -850.3 meV/atom. For the calculated volume, the calculation gives 39.4 A^3/atom.

Cell and atoms, written as CIF:
```
data_BaCuBr2
_chemical_formula_sum 'Ba3 Cu3 Br6'
_cell_length_a 4.5309
_cell_length_b 4.5309
_cell_length_c 26.6105
_cell_angle_alpha 90.00
_cell_angle_beta 90.00
_cell_angle_gamma 120.00
_space_group_name_H-M_alt 'R -3 m'
_space_group_IT_number 166
_space_group_name_Hall '-R 3 2"'
loop_
_atom_site_label
_atom_site_fract_x
_atom_site_fract_y
_atom_site_fract_z
_atom_site_occupancy
Ba1 0.0000 0.0000 0.0000 1
Cu1 0.0000 0.0000 0.5000 1
Br1 0.0000 0.0000 0.4124 1
```